[1]
## LaSi4Pd4 (PBE)

Data for a relaxed structure of LaSi4Pd4.

Structure (POSCAR):
```
LaSi4Pd4
1.0
6.0584 0.0000 0.0000
0.0000 6.0584 0.0000
0.0000 0.0000 8.3712
La Si Pd
2 8 8
direct
0.2500 0.7500 0.2500 La
0.7500 0.2500 0.7500 La
0.0524 0.2500 0.0815 Si
0.2500 0.0524 0.5815 Si
0.2500 0.4476 0.5815 Si
0.4476 0.2500 0.0815 Si
0.5524 0.7500 0.9185 Si
0.7500 0.5524 0.4185 Si
0.7500 0.9476 0.4185 Si
0.9476 0.7500 0.9185 Si
0.0162 0.2500 0.3761 Pd
0.2500 0.0162 0.8761 Pd
0.2500 0.4838 0.8761 Pd
0.4838 0.2500 0.3761 Pd
0.5162 0.7500 0.6239 Pd
0.7500 0.5162 0.1239 Pd
0.7500 0.9838 0.1239 Pd
0.9838 0.7500 0.6239 Pd
```

* calculated volume: 307.3 Å³/cell
* total DFT energy (no corrections): -5.957 eV per atom
* calculated density: 7.3 g/cm3


[2]
## LaSiPd3 (PBE)

Data for a relaxed structure of LaSiPd3.

Structure (POSCAR):
```
LaSiPd3
1.0
-2.7975 4.4450 4.0091
2.7975 -4.4450 4.0091
2.7975 4.4450 -4.0091
La Si Pd
2 2 6
direct
0.2809 0.0309 0.2500 La
0.7191 0.9691 0.7500 La
0.0000 0.5000 0.5000 Si
0.5000 0.5000 0.0000 Si
0.1239 0.3739 0.7500 Pd
0.2488 0.0000 0.7488 Pd
0.2488 0.5000 0.2488 Pd
0.7512 0.0000 0.2512 Pd
0.7512 0.5000 0.7512 Pd
0.8761 0.6261 0.2500 Pd
```

* calculated volume: 199.4 Å³/cell
* offset from the most stable computed form: 0.0 meV per atom
* calculated density: 8.1 g/cm3


[3]
## LaSi3Pd5 (PBE)

Data for a relaxed structure of LaSi3Pd5.

Structure (POSCAR):
```
LaSi3Pd5
1.0
1.9771 -6.2778 0.0000
1.9771 6.2778 0.0000
0.0000 0.0000 12.6733
La Si Pd
2 6 10
direct
0.1525 0.8475 0.7500 La
0.8475 0.1525 0.2500 La
0.1186 0.8814 0.2500 Si
0.3863 0.6137 0.0389 Si
0.3863 0.6137 0.4611 Si
0.6137 0.3863 0.5389 Si
0.6137 0.3863 0.9611 Si
0.8814 0.1186 0.7500 Si
0.0000 0.0000 0.0000 Pd
0.0000 0.0000 0.5000 Pd
0.2058 0.7942 0.0741 Pd
0.2058 0.7942 0.4259 Pd
0.4462 0.5538 0.6452 Pd
0.4462 0.5538 0.8548 Pd
0.5538 0.4462 0.1452 Pd
0.5538 0.4462 0.3548 Pd
0.7942 0.2058 0.5741 Pd
0.7942 0.2058 0.9259 Pd
```

* calculated volume: 314.6 Å³/cell
* total DFT energy (no corrections): -6.019 eV per atom
* calculated density: 8.0 g/cm3


[4]
## LaSiPd3 (PBE)

Data for a relaxed structure of LaSiPd3.

Structure (POSCAR):
```
LaSiPd3
1.0
4.6749 0.0000 0.0000
0.0000 4.6749 0.0000
0.0000 0.0000 4.6749
La Si Pd
1 1 3
direct
0.0000 0.0000 0.0000 La
0.5000 0.5000 0.5000 Si
0.0000 0.5000 0.5000 Pd
0.5000 0.0000 0.5000 Pd
0.5000 0.5000 0.0000 Pd
```

* calculated volume: 102.2 Å³/cell
* offset from the most stable computed form: 125.4 meV per atom
* calculated density: 7.9 g/cm3


[5]
## LaSi3Pd (PBE)

Data for a relaxed structure of LaSi3Pd.

Structure (POSCAR):
```
LaSi3Pd
1.0
4.7733 0.0000 0.0000
0.0000 4.7733 0.0000
0.0000 0.0000 4.7733
La Si Pd
1 3 1
direct
0.0000 0.0000 0.0000 La
0.0000 0.5000 0.5000 Si
0.5000 0.0000 0.5000 Si
0.5000 0.5000 0.0000 Si
0.5000 0.5000 0.5000 Pd
```

* calculated volume: 108.8 Å³/cell
* total DFT energy (no corrections): -5.259 eV per atom
* calculated density: 5.0 g/cm3


[6]
## LaSiPd4 (PBE)

Data for a relaxed structure of LaSiPd4.

Structure (POSCAR):
```
LaSiPd4
1.0
2.4001 -6.8412 0.0000
2.4001 6.8412 0.0000
0.0000 0.0000 6.8903
La Si Pd
2 2 8
direct
0.1076 0.8924 0.7500 La
0.8924 0.1076 0.2500 La
0.3737 0.6263 0.7500 Si
0.6263 0.3737 0.2500 Si
0.1133 0.8867 0.2500 Pd
0.2932 0.7068 0.0475 Pd
0.2932 0.7068 0.4525 Pd
0.5000 0.5000 0.0000 Pd
0.5000 0.5000 0.5000 Pd
0.7068 0.2932 0.5475 Pd
0.7068 0.2932 0.9525 Pd
0.8867 0.1133 0.7500 Pd
```

* calculated volume: 226.3 Å³/cell
* total DFT energy (no corrections): -5.852 eV per atom
* calculated density: 8.7 g/cm3


[7]
## La2Si2Pd5 (PBE)

Data for a relaxed structure of La2Si2Pd5.

Structure (POSCAR):
```
La2Si2Pd5
1.0
4.3322 0.0000 0.0000
0.0000 4.3322 0.0000
0.0000 0.0000 8.9918
La Si Pd
2 2 5
direct
0.0000 0.0000 0.0000 La
0.0000 0.0000 0.5000 La
0.5000 0.5000 0.1358 Si
0.5000 0.5000 0.8642 Si
0.0000 0.5000 0.2670 Pd
0.0000 0.5000 0.7330 Pd
0.5000 0.0000 0.2670 Pd
0.5000 0.0000 0.7330 Pd
0.5000 0.5000 0.5000 Pd
```

* calculated volume: 168.8 Å³/cell
* total DFT energy (no corrections): -6.076 eV per atom
* calculated density: 8.5 g/cm3


[8]
## LaSiPd2 (PBE)

Data for a relaxed structure of LaSiPd2.

Structure (POSCAR):
```
LaSiPd2
1.0
-2.4441 2.4441 7.9156
2.4441 -2.4441 7.9156
2.4441 2.4441 -7.9156
La Si Pd
2 2 4
direct
0.0000 0.0000 0.0000 La
0.7500 0.2500 0.5000 La
0.2500 0.7500 0.5000 Si
0.5000 0.5000 0.0000 Si
0.2646 0.6250 0.1396 Pd
0.3750 0.5146 0.6396 Pd
0.4854 0.1250 0.8604 Pd
0.8750 0.7354 0.3604 Pd
```

* calculated volume: 189.1 Å³/cell
* total DFT energy (no corrections): -5.759 eV per atom
* calculated density: 6.7 g/cm3